[1]
DFT (PBE) results for RbInS4 after structural relaxation.

abc: 9.695 12.234 8.099
angles: 90.00 124.93 90.00
Space group C2/c (No. 15)
Inequivalent atoms, fractional coordinates:
Rb 0.000 0.145 0.250 (multiplicity 4)
In 0.000 0.435 0.750 (multiplicity 4)
S 0.159 0.332 0.078 (multiplicity 8)
S 0.239 0.462 0.282 (multiplicity 8)

Calculated values
Formation energy from raw total energies ... -0.52 eV/atom
V ... 32.816 Å³/atom


[2]
DFT (PBE) results for RbIn2S after structural relaxation.

abc: 3.9819 3.9819 32.7718
angles: 90.00 90.00 120.00
Space group R-3m (No. 166, hexagonal axes)
Inequivalent atoms, fractional coordinates:
Rb 0.0000 0.0000 0.0000 (multiplicity 3)
In 0.0000 0.0000 0.1142 (multiplicity 6)
S 0.0000 0.0000 0.5000 (multiplicity 3)

Calculated values
Formation energy from raw total energies ... -0.15 eV/atom
V ... 37.499 Å³/atom


[3]
DFT (PBE) results for RbIn5S8 after structural relaxation.

abc: 19.282 3.923 9.429
angles: 90.00 102.44 90.00
Space group C2/m (No. 12)
Inequivalent atoms, fractional coordinates:
Rb 0.000 0.000 0.000 (multiplicity 2)
In 0.000 0.500 0.500 (multiplicity 2)
In 0.146 0.000 0.413 (multiplicity 4)
In 0.213 0.000 0.838 (multiplicity 4)
S 0.071 0.500 0.289 (multiplicity 4)
S 0.085 0.000 0.626 (multiplicity 4)
S 0.165 0.500 0.975 (multiplicity 4)
S 0.238 0.500 0.654 (multiplicity 4)

Calculated values
Formation energy from raw total energies ... -0.66 eV/atom
V ... 24.875 Å³/atom


[4]
DFT (PBE) results for RbInS2 after structural relaxation.

abc: 6.675 6.972 8.313
angles: 65.45 77.79 68.05
Space group P-1 (No. 2)
Inequivalent atoms, fractional coordinates:
Rb 0.029 0.146 0.189 (multiplicity 2)
In 0.261 0.478 0.499 (multiplicity 2)
S 0.019 0.617 0.253 (multiplicity 2)
S 0.369 0.787 0.501 (multiplicity 2)

Calculated values
Formation energy from raw total energies ... -0.90 eV/atom
V ... 40.710 Å³/atom


[5]
DFT (PBE) results for RbInS2 after structural relaxation.

abc: 7.352 5.377 6.795
angles: 90.00 106.01 90.00
Space group P2/c (No. 13)
Inequivalent atoms, fractional coordinates:
Rb 0.000 0.221 0.250 (multiplicity 2)
In 0.500 0.491 0.750 (multiplicity 2)
S 0.294 0.288 0.942 (multiplicity 4)

Calculated values
Formation energy from raw total energies ... -0.88 eV/atom
V ... 32.271 Å³/atom


[6]
DFT (PBE) results for Rb6InS4 after structural relaxation.

abc: 10.7543 10.7543 8.0429
angles: 90.00 90.00 120.00
Space group P6_3mc (No. 186)
Inequivalent atoms, fractional coordinates:
Rb 0.0621 0.5311 0.0000 (multiplicity 6)
Rb 0.1367 0.2735 0.6805 (multiplicity 6)
In 0.3333 0.6667 0.3922 (multiplicity 2)
S 0.2038 0.4075 0.2910 (multiplicity 6)
S 0.3333 0.6667 0.7101 (multiplicity 2)

Calculated values
Formation energy from raw total energies ... -0.96 eV/atom
V ... 36.618 Å³/atom


[7]
DFT (PBE) results for RbInS2 after structural relaxation.

abc: 6.819 10.929 6.819
angles: 90.00 90.00 90.00
Space group Pna2_1 (No. 33)
Inequivalent atoms, fractional coordinates:
Rb 0.001 0.124 0.000 (multiplicity 4)
In 0.046 0.375 0.451 (multiplicity 4)
S 0.012 0.418 0.089 (multiplicity 4)
S 0.098 0.829 0.022 (multiplicity 4)

Calculated values
Formation energy from raw total energies ... -0.91 eV/atom
V ... 31.761 Å³/atom


[8]
DFT (PBE) results for RbInS2 after structural relaxation.

abc: 5.105 5.105 3.773
angles: 90.00 90.00 90.00
Space group P4/mmm (No. 123)
Inequivalent atoms, fractional coordinates:
Rb 0.000 0.000 0.000 (multiplicity 1)
In 0.500 0.500 0.000 (multiplicity 1)
S 0.000 0.500 0.500 (multiplicity 2)

Calculated values
Formation energy from raw total energies ... -0.17 eV/atom
V ... 24.586 Å³/atom


[9]
DFT (PBE) results for RbIn2S after structural relaxation.

abc: 8.944 8.944 6.521
angles: 90.00 90.00 90.00
Space group I-42d (No. 122)
Inequivalent atoms, fractional coordinates:
Rb 0.000 0.000 0.000 (multiplicity 4)
In 0.186 0.250 0.625 (multiplicity 8)
S 0.000 0.000 0.500 (multiplicity 4)

Calculated values
Formation energy from raw total energies ... -0.31 eV/atom
V ... 32.600 Å³/atom


[10]
DFT (PBE) results for RbIn2S4 after structural relaxation.

abc: 3.893 13.327 13.471
angles: 90.00 90.00 90.00
Space group Cmcm (No. 63)
Inequivalent atoms, fractional coordinates:
Rb 0.000 0.107 0.250 (multiplicity 4)
In 0.000 0.360 0.061 (multiplicity 8)
S 0.000 0.000 0.000 (multiplicity 4)
S 0.000 0.262 0.607 (multiplicity 8)
S 0.000 0.416 0.250 (multiplicity 4)

Calculated values
Formation energy from raw total energies ... -0.47 eV/atom
V ... 24.957 Å³/atom


[11]
DFT (PBE) results for RbIn6S8 after structural relaxation.

abc: 11.2921 11.2921 11.1831
angles: 90.00 90.00 120.00
Space group R-3 (No. 148, hexagonal axes)
Inequivalent atoms, fractional coordinates:
Rb 0.0000 0.0000 0.0000 (multiplicity 3)
In 0.0533 0.8043 0.6350 (multiplicity 18)
S 0.0000 0.0000 0.3273 (multiplicity 6)
S 0.0383 0.6286 0.7947 (multiplicity 18)

Calculated values
Formation energy from raw total energies ... -0.49 eV/atom
V ... 27.443 Å³/atom


[12]
DFT (PBE) results for RbInS2 after structural relaxation.

abc: 11.282 11.282 15.857
angles: 90.00 100.24 90.00
Space group C2/c (No. 15)
Inequivalent atoms, fractional coordinates:
Rb 0.034 0.187 0.388 (multiplicity 8)
Rb 0.216 0.438 0.113 (multiplicity 8)
In 0.101 0.189 0.660 (multiplicity 8)
In 0.146 0.436 0.840 (multiplicity 8)
S 0.000 0.055 0.750 (multiplicity 4)
S 0.000 0.429 0.250 (multiplicity 4)
S 0.047 0.312 0.937 (multiplicity 8)
S 0.203 0.062 0.565 (multiplicity 8)
S 0.242 0.187 0.250 (multiplicity 8)

Calculated values
Formation energy from raw total energies ... -0.95 eV/atom
V ... 31.035 Å³/atom